1.
Entry from Alexandria: a geometry-optimized LiTlSb2 structure (PBE).

## Properties
- E: -2.922 eV/atom
- ΔE to the lowest computed polymorph: 0.407 eV per atom
- E_form (uncorrected): 0.21 eV per atom

a = 6.9387 Å, b = 6.9387 Å, c = 10.9064 Å
α = 90.00°, β = 90.00°, γ = 90.00°
Last column: nearest neighbours and their distance in Å.
Space group I-42d (No. 122)
Inequivalent atoms, fractional coordinates:
Li: 0.0000 0.0000 0.0000 x4  4 Sb 2.71
Tl: 0.0000 0.0000 0.5000 x4  4 Sb 2.91
Sb: 0.2267 0.2500 0.1250 x8  2 Li 2.71, 2 Tl 2.91

---

2.
Entry from Alexandria: a geometry-optimized LiTlSb2 structure (PBE).

## Properties
- E: -3.130 eV/atom
- ΔE to the lowest computed polymorph: 0.198 eV per atom
- E_form (uncorrected): 0.00 eV per atom

a = 7.5238 Å, b = 7.5238 Å, c = 7.5238 Å
α = 90.00°, β = 90.00°, γ = 90.00°
Last column: nearest neighbours and their distance in Å.
Space group F-43m (No. 216)
Inequivalent atoms, fractional coordinates:
Li: 0.0000 0.0000 0.0000 x4  4 Tl 3.26, 4 Sb 3.26
Tl: 0.2500 0.2500 0.7500 x4  4 Li 3.26, 4 Sb 3.26
Sb: 0.0000 0.0000 0.5000 x4  4 Tl 3.26, 4 Sb 3.26
Sb: 0.2500 0.2500 0.2500 x4  4 Li 3.26, 4 Sb 3.26

---

Q: Number 1 is which compound?
A: LiTlSb2

---

Q: Which value of ΔE to the lowest computed polymorph does entry 1 give?
A: 0.407 eV per atom

---

Repeat the first record exactly.
Entry from Alexandria: a geometry-optimized LiTlSb2 structure (PBE).

## Properties
- E: -2.922 eV/atom
- ΔE to the lowest computed polymorph: 0.407 eV per atom
- E_form (uncorrected): 0.21 eV per atom

a = 6.9387 Å, b = 6.9387 Å, c = 10.9064 Å
α = 90.00°, β = 90.00°, γ = 90.00°
Last column: nearest neighbours and their distance in Å.
Space group I-42d (No. 122)
Inequivalent atoms, fractional coordinates:
Li: 0.0000 0.0000 0.0000 x4  4 Sb 2.71
Tl: 0.0000 0.0000 0.5000 x4  4 Sb 2.91
Sb: 0.2267 0.2500 0.1250 x8  2 Li 2.71, 2 Tl 2.91

---

Q: Look up the E of the second one.
A: -3.130 eV/atom